DFT (PBE+U) results for a relaxed structure of CrSNF2.

The value obtained for the offset from the most stable computed form is 0 meV per atom. The spin magnetization is 2.17 μB/cell.

Cell: 3.796 3.796 4.310 Å, 90.00 90.00 90.00°
Fractional coordinates of all 5 atoms:
1 Cr 0.000 0.000 0.000
2 S 0.500 0.500 0.500
3 N 0.000 0.000 0.500
4 F 0.000 0.500 0.000
5 F 0.500 0.000 0.000